DFT (PBE with a Hubbard U) results for SrMnS2O8 after structural relaxation.

Unit cell a=4.912 b=4.912 c=7.848 alpha=71.76 beta=71.76 gamma=60.00
Fractional positions:
Sr 0.500 0.500 0.500
Mn 0.000 0.000 0.000
S 0.251 0.251 0.248
S 0.749 0.749 0.752
O 0.183 0.183 0.452
O 0.560 0.273 0.185
O 0.817 0.817 0.548
O 0.983 0.560 0.185
O 0.017 0.440 0.815
O 0.273 0.983 0.185
O 0.727 0.017 0.815
O 0.440 0.727 0.815

## Properties
Space-group type: No. 148
DFT total energy, eV/atom: -6.631
M_tot, μB per atom: 0.417